No. 1
Density functional theory data (PBE) for a relaxed structure of Rb2TiNbBr6.

Lattice parameters (Å, degrees): 7.6257 7.6257 7.6261 60.00 60.00 90.00
Site moments in Bohr magnetons follow the coordinates.
Sites, in units of the cell vectors:
1 Br 0.7477 0.2523 0.0000  0.02
2 Br 0.7477 0.7477 0.0000  0.02
3 Br 0.2523 0.2523 0.0000  0.02
4 Br 0.2522 0.2522 0.4955  0.02
5 Br 0.7478 0.7478 0.5045  0.02
6 Br 0.2523 0.7477 0.0000  0.02
7 Ti 0.5000 0.5000 0.0000  -1.54
8 Rb 0.2500 0.7500 0.5000  0.00
9 Rb 0.7500 0.2500 0.5000  0.00
10 Nb 0.0000 0.0000 0.0000  2.23

Results
formation energy from raw total energies	-1.077	eV/atom
magnetic moment	1.00	μB per cell
V	31.4	Å³/atom
space-group type	Fm-3m (225)

=====

No. 2
Density functional theory data (PBE) for a relaxed structure of RbNbTlBr6.

Lattice parameters (Å, degrees): 7.9485 7.9485 13.4696 90.00 90.00 120.00
Site moments in Bohr magnetons follow the coordinates.
Sites, in units of the cell vectors:
1 Nb 0.3333 0.6667 0.7500  0.90
2 Nb 0.6667 0.3333 0.2500  0.90
3 Br 0.9357 0.5981 0.3619  -0.01
4 Br 0.0643 0.4019 0.6381  -0.01
5 Br 0.4019 0.0643 0.1381  -0.01
6 Br 0.9357 0.3377 0.1381  -0.01
7 Br 0.6623 0.5981 0.1381  -0.01
8 Br 0.0643 0.6623 0.8619  -0.01
9 Br 0.6623 0.0643 0.3619  -0.01
10 Br 0.3377 0.4019 0.8619  -0.01
11 Br 0.5981 0.6623 0.6381  -0.01
12 Br 0.5981 0.9357 0.8619  -0.01
13 Br 0.4019 0.3377 0.3619  -0.01
14 Br 0.3377 0.9357 0.6381  -0.01
15 Tl 0.3333 0.6667 0.2500  0.00
16 Tl 0.6667 0.3333 0.7500  0.00
17 Rb 0.0000 0.0000 0.5000  0.00
18 Rb 0.0000 0.0000 0.0000  0.00

Results
formation energy from raw total energies	-1.057	eV/atom
magnetic moment	2.00	μB per cell
V	40.9	Å³/atom
space-group type	P-31c (163)

=====

No. 3
Density functional theory data (PBE) for a relaxed structure of RbNbTl2Br8.

Lattice parameters (Å, degrees): 6.6094 8.3306 9.7522 89.85 90.07 115.48
Sites, in units of the cell vectors:
1 Br 0.5803 0.8116 0.9993
2 Br 0.4197 0.1884 0.0007
3 Br 0.5634 0.2798 0.5004
4 Br 0.4366 0.7202 0.4996
5 Br 0.0429 0.7974 0.8152
6 Br 0.0411 0.7963 0.1856
7 Br 0.9571 0.2026 0.1848
8 Br 0.9589 0.2037 0.8144
9 Nb 0.0000 0.0000 0.0000
10 Tl 0.4993 0.4999 0.2665
11 Tl 0.5007 0.5001 0.7335
12 Rb 0.0000 0.0000 0.5000

Results
formation energy from raw total energies	-0.986	eV/atom
magnetic moment	0.00	μB per cell
V	40.4	Å³/atom
space-group type	P-1 (2)